No. 1
Compound: Rb2Cd4Ag3
Source: the Alexandria database
Functional: PBE
Structure: optimized geometry

a = 9.218 Å, b = 8.014 Å, c = 6.282 Å
α = 79.29°, β = 58.67°, γ = 42.04°
Fractional coordinates of all 9 atoms:
Rb: 0.131 0.131 0.869
Rb: 0.869 0.869 0.131
Cd: 0.160 0.517 0.483
Cd: 0.483 0.840 0.160
Cd: 0.517 0.160 0.840
Cd: 0.840 0.483 0.517
Ag: 0.000 0.000 0.500
Ag: 0.500 0.500 0.000
Ag: 0.500 0.500 0.500

Computed properties:
The energy is -13.86 eV per formula unit. As for the energy of formation from the pure elements: 0.3 eV per formula unit. The symmetry is No. 69. The magnetic moment is 0.00 μB/f.u.

=====

No. 2
Compound: RbCd8Ag4
Source: the Alexandria database
Functional: PBE
Structure: optimized geometry

a = 7.800 Å, b = 7.800 Å, c = 7.800 Å
α = 97.44°, β = 97.44°, γ = 137.81°
Fractional coordinates of all 13 atoms:
Rb: 0.000 0.000 0.000
Cd: 0.000 0.354 0.354
Cd: 0.000 0.646 0.646
Cd: 0.276 0.500 0.776
Cd: 0.354 0.000 0.354
Cd: 0.500 0.276 0.776
Cd: 0.500 0.724 0.224
Cd: 0.646 0.000 0.646
Cd: 0.724 0.500 0.224
Ag: 0.000 0.000 0.500
Ag: 0.000 0.500 0.000
Ag: 0.500 0.000 0.000
Ag: 0.500 0.500 0.500

Computed properties:
The energy is -20.21 eV per formula unit. As for the energy of formation from the pure elements: -0.5 eV per formula unit. The symmetry is No. 139. The magnetic moment is 0.00 μB/f.u.

=====

No. 3
Compound: RbCdAg
Source: the Alexandria database
Functional: PBE
Structure: optimized geometry

a = 4.930 Å, b = 4.930 Å, c = 5.142 Å
α = 90.00°, β = 90.00°, γ = 120.00°
Fractional coordinates of all 3 atoms:
Rb: 0.000 0.000 0.000
Cd: 0.333 0.667 0.500
Ag: 0.667 0.333 0.500

Computed properties:
The energy is -4.75 eV per formula unit. As for the energy of formation from the pure elements: 0.0 eV per formula unit. The symmetry is No. 187. The magnetic moment is 0.00 μB/f.u.

=====

What did the second record say?
Compound: RbCd8Ag4
Source: the Alexandria database
Functional: PBE
Structure: optimized geometry

a = 7.800 Å, b = 7.800 Å, c = 7.800 Å
α = 97.44°, β = 97.44°, γ = 137.81°
Fractional coordinates of all 13 atoms:
Rb: 0.000 0.000 0.000
Cd: 0.000 0.354 0.354
Cd: 0.000 0.646 0.646
Cd: 0.276 0.500 0.776
Cd: 0.354 0.000 0.354
Cd: 0.500 0.276 0.776
Cd: 0.500 0.724 0.224
Cd: 0.646 0.000 0.646
Cd: 0.724 0.500 0.224
Ag: 0.000 0.000 0.500
Ag: 0.000 0.500 0.000
Ag: 0.500 0.000 0.000
Ag: 0.500 0.500 0.500

Computed properties:
The energy is -20.21 eV per formula unit. As for the energy of formation from the pure elements: -0.5 eV per formula unit. The symmetry is No. 139. The magnetic moment is 0.00 μB/f.u.

=====

Among the records above, which one has the highest energy? RbCdAg

=====

The lowest energy of formation from the pure elements belongs to which entry? RbCd8Ag4